As3P | GGA-PBE | relaxed

Values from the calculation:
energy relative to the lowest polymorph listed for this composition = 0.918 eV/atom
formation energy from the elements = 0.976 eV/atom
space group = Pm-3m
electronic total energy = -3.864 eV per atom

```
As3P
1.0
-1.3807 4.5518 -0.7248
-4.6024 -1.4026 -0.0410
-0.2501 0.6815 4.7564
As P
3 1
direct
0.5000 0.0000 0.0000
0.0000 0.5000 0.0000
0.0000 0.0000 0.5000
0.0000 0.0000 0.0000
```